VASP calculation (GGA-PBE) on Nd8BS3Br4 after structural relaxation.

Its uncorrected formation energy is -1.436 eV per atom. Its symmetry is R-3m.

Cell lengths 8.179, 8.682, 8.179 Å; angles 118.10, 120.00, 90.00 degrees
Sites, in units of the cell vectors:
Nd1 0.223 0.696 0.972
Nd2 0.223 0.696 0.447
Nd3 0.268 0.304 0.536
Nd4 0.749 0.696 0.972
Nd5 0.251 0.304 0.028
Nd6 0.732 0.696 0.464
Nd7 0.777 0.304 0.553
Nd8 0.777 0.304 0.028
B1 0.000 0.500 0.000
S1 0.500 0.500 0.000
S2 0.500 0.500 0.500
S3 0.000 0.500 0.500
Br1 0.500 0.000 0.000
Br2 0.500 0.000 0.500
Br3 0.000 0.000 0.000
Br4 0.000 0.000 0.500